# Sm2DyMg

Crystalline Sm2DyMg at its relaxed geometry (PBE, Alexandria).

Computed properties:
Its polymorph energy (0 for the lowest one) is 0 meV per atom. For the final energy, the calculation gives -15.8 eV/cell. For the formation energy, the calculation gives -0.03 eV/atom. The density is 6.6 g/cm³.

```
Sm2DyMg
1.0
3.683 0.000 0.000
0.000 3.683 0.000
0.000 0.000 9.043
Mg Sm Dy
1 2 1
Cartesian
1.842 1.842 0.000
0.000 0.000 6.962
0.000 0.000 2.081
1.842 1.842 4.522
```